WBr2Cl: optimized geometry, PBE.

Results
Crystal system ... tetragonal
D(E_F) ... 1.63 states/eV/cell
Mass density ... 7.5 g/cm³
ΔE_f (raw) ... 1.012 eV per atom
Calculated volume ... 84.5 Å³/cell

Unit cell a=4.9276 b=4.9276 c=4.9276 alpha=120.09 beta=120.09 gamma=89.84
Last column: magnetic moment on the atom in μB.
Fractional coordinates of all 4 atoms:
Br: 0.0000 0.0000 0.0000  -0.13
Br: 0.2500 0.7500 0.5000  0.00
W: 0.7500 0.2500 0.5000  2.58
Cl: 0.5000 0.5000 0.0000  -0.05

Li4HoAs2: optimized geometry, PBE.

Results
DFT formation energy ... -0.801 eV/atom
Crystal system ... tetragonal
D(E_F) ... 7.58 states/eV/cell
Mass density ... 4.8 g/cm³
Calculated volume ... 238.8 Å³/cell

Unit cell a=4.1174 b=7.6159 c=7.6159 alpha=90.00 beta=90.00 gamma=90.00
Last column: magnetic moment on the atom in μB.
Fractional coordinates of all 14 atoms:
Li: 0.0000 0.0979 0.3373  0.01
Li: 0.0000 0.9021 0.6627  0.01
Li: 0.5000 0.1627 0.5979  0.01
Li: 0.5000 0.8373 0.4021  0.01
Li: 0.5000 0.4021 0.8373  0.01
Li: 0.5000 0.5979 0.1627  0.01
Li: 0.0000 0.3373 0.0979  0.01
Li: 0.0000 0.6627 0.9021  0.01
Ho: 0.5000 0.0000 0.0000  0.08
Ho: 0.0000 0.5000 0.5000  0.08
As: 0.0000 0.2093 0.7907  -0.01
As: 0.0000 0.7907 0.2093  -0.01
As: 0.5000 0.7093 0.7093  -0.01
As: 0.5000 0.2907 0.2907  -0.01

SnI: optimized geometry, PBE.

Results
Crystal system ... cubic
D(E_F) ... 9.62 states/eV/cell
Mass density ... 3.1 g/cm³
ΔE_f (raw) ... 0.354 eV per atom
Calculated volume ... 801.9 Å³/cell

Unit cell a=9.2906 b=9.2906 c=9.2906 alpha=90.00 beta=90.00 gamma=90.00
Last column: magnetic moment on the atom in μB.
Fractional coordinates of all 12 atoms:
Sn: 0.2500 0.5000 0.0000  0.40
Sn: 0.7500 0.5000 0.0000  0.40
Sn: 0.5000 0.0000 0.2500  0.40
Sn: 0.5000 0.0000 0.7500  0.40
Sn: 0.0000 0.2500 0.5000  0.40
Sn: 0.0000 0.7500 0.5000  0.40
I: 0.2500 0.0000 0.5000  0.02
I: 0.7500 0.0000 0.5000  0.02
I: 0.0000 0.5000 0.2500  0.02
I: 0.0000 0.5000 0.7500  0.02
I: 0.5000 0.2500 0.0000  0.02
I: 0.5000 0.7500 0.0000  0.02

Ca3Dy3MgTe8: optimized geometry, PBE.

Results
Crystal system ... trigonal
D(E_F) ... 4.16 states/eV/cell
Mass density ... 5.6 g/cm³
ΔE_f (raw) ... -1.392 eV per atom
Calculated volume ... 486.9 Å³/cell

Unit cell a=8.7639 b=8.7640 c=8.8981 alpha=119.50 beta=90.00 gamma=120.00
Fractional coordinates of all 15 atoms:
Ca: 0.0000 0.0000 0.0000
Ca: 0.0000 0.5000 0.0000
Ca: 0.5000 0.5000 0.0000
Dy: 0.5000 0.0000 0.5000
Dy: 0.5000 0.5000 0.5000
Dy: 0.0000 0.5000 0.5000
Mg: 0.0000 0.0000 0.5000
Te: 0.2520 0.5041 0.2561
Te: 0.7480 0.4959 0.7439
Te: 0.7565 0.5129 0.2628
Te: 0.2435 0.4871 0.7372
Te: 0.7565 0.0063 0.2628
Te: 0.2435 0.9937 0.7372
Te: 0.2499 0.0063 0.2628
Te: 0.7501 0.9937 0.7372

LaEr5TmSc2: optimized geometry, PBE.

Results
DFT formation energy ... 0.174 eV/atom
Crystal system ... orthorhombic
D(E_F) ... 25.61 states/eV/cell
Mass density ... 7.4 g/cm³
Calculated volume ... 553.0 Å³/cell

Unit cell a=5.5648 b=11.1347 c=9.2170 alpha=90.00 beta=90.00 gamma=104.47
Fractional coordinates of all 18 atoms:
La: 0.8155 0.6309 0.5160
La: 0.1845 0.3691 0.0160
Er: 0.3926 0.7851 0.0489
Er: 0.7350 0.4700 0.8343
Er: 0.4685 0.9370 0.7502
Er: 0.3096 0.6192 0.7212
Er: 0.9938 0.9876 0.5207
Er: 0.6074 0.2149 0.5489
Er: 0.2650 0.5300 0.3343
Er: 0.5315 0.0630 0.2502
Er: 0.6904 0.3808 0.2212
Er: 0.0062 0.0124 0.0207
Tm: 0.5964 0.1927 0.9202
Tm: 0.4036 0.8073 0.4202
Sc: 0.8868 0.7737 0.8231
Sc: 0.1432 0.2865 0.6896
Sc: 0.1132 0.2263 0.3231
Sc: 0.8568 0.7135 0.1896

DyU5S6: optimized geometry, PBE.

Results
Crystal system ... monoclinic
D(E_F) ... 21.51 states/eV/cell
Mass density ... 10.4 g/cm³
ΔE_f (raw) ... -1.470 eV per atom
Calculated volume ... 246.0 Å³/cell

Unit cell a=6.7264 b=6.7264 c=6.6637 alpha=99.70 beta=99.70 gamma=119.95
Last column: magnetic moment on the atom in μB.
Fractional coordinates of all 12 atoms:
S: 0.4156 0.0827 0.2489  -0.06
S: 0.9173 0.5844 0.7511  -0.06
S: 0.2491 0.2491 0.7499  -0.06
S: 0.7509 0.7509 0.2501  -0.06
S: 0.0827 0.4156 0.2489  -0.06
S: 0.5844 0.9173 0.7511  -0.06
U: 0.8331 0.1669 0.5000  2.11
U: 0.6663 0.3337 0.0000  2.06
U: 0.5000 0.5000 0.5000  2.11
U: 0.3337 0.6663 0.0000  2.06
U: 0.1669 0.8331 0.5000  2.11
Dy: 0.0000 0.0000 0.0000  0.01

ErTl3Sn2Te6: optimized geometry, PBE.

Results
Crystal system ... monoclinic
D(E_F) ... 9.00 states/eV/cell
Mass density ... 7.2 g/cm³
ΔE_f (raw) ... -0.499 eV per atom
Calculated volume ... 412.5 Å³/cell

Unit cell a=7.7655 b=7.7655 c=8.3037 alpha=98.94 beta=98.94 gamma=119.94
Fractional coordinates of all 12 atoms:
Er: 0.0000 0.0000 0.0000
Tl: 0.1677 0.8323 0.5000
Tl: 0.8323 0.1677 0.5000
Tl: 0.5000 0.5000 0.5000
Sn: 0.3340 0.6660 0.0000
Sn: 0.6660 0.3340 0.0000
Te: 0.9284 0.5994 0.7838
Te: 0.7436 0.7436 0.2167
Te: 0.0716 0.4006 0.2162
Te: 0.5994 0.9284 0.7838
Te: 0.2564 0.2564 0.7833
Te: 0.4006 0.0716 0.2162

Sr3As4Au2: optimized geometry, PBE.

Results
DFT formation energy ... -0.815 eV/atom
Crystal system ... monoclinic
D(E_F) ... 1.10 states/eV/cell
Mass density ... 6.8 g/cm³
Calculated volume ... 234.4 Å³/cell

Unit cell a=4.4913 b=6.3008 c=9.1152 alpha=102.56 beta=90.00 gamma=110.88
Fractional coordinates of all 9 atoms:
Sr: 0.6513 0.3027 0.6560
Sr: 0.0000 0.0000 0.0000
Sr: 0.3487 0.6973 0.3440
As: 0.7059 0.4118 0.0263
As: 0.2941 0.5882 0.9737
As: 0.9284 0.8567 0.6312
As: 0.0716 0.1433 0.3688
Au: 0.6295 0.2589 0.2697
Au: 0.3705 0.7411 0.7303

CsNaMg6: optimized geometry, PBE.

Results
DFT formation energy ... 0.199 eV/atom
Crystal system ... orthorhombic
D(E_F) ... 4.02 states/eV/cell
Mass density ... 1.7 g/cm³
Calculated volume ... 289.0 Å³/cell

Unit cell a=9.8336 b=9.8336 c=4.9910 alpha=90.00 beta=90.00 gamma=143.21
Fractional coordinates of all 8 atoms:
Cs: 0.2805 0.7195 0.5000
Na: 0.8990 0.1010 0.5000
Mg: 0.8165 0.6779 0.5000
Mg: 0.3221 0.1835 0.5000
Mg: 0.7103 0.7717 0.0000
Mg: 0.2283 0.2897 0.0000
Mg: 0.6292 0.3708 0.0000
Mg: 0.1141 0.8859 0.0000

Ac2Tb4Pm7: optimized geometry, PBE.

Results
DFT formation energy ... 0.196 eV/atom
Crystal system ... trigonal
D(E_F) ... 18.12 states/eV/cell
Mass density ... 7.6 g/cm³
Calculated volume ... 461.4 Å³/cell

Unit cell a=6.3095 b=6.3095 c=13.3844 alpha=90.00 beta=90.00 gamma=120.00
Fractional coordinates of all 13 atoms:
Ac: 0.6667 0.3333 0.0000
Ac: 0.3333 0.6667 0.0000
Tb: 0.0000 0.0000 0.6057
Tb: 0.0000 0.0000 0.3943
Tb: 0.6667 0.3333 0.5000
Tb: 0.3333 0.6667 0.5000
Pm: 0.0000 0.3680 0.7734
Pm: 0.0000 0.6320 0.2266
Pm: 0.0000 0.0000 0.0000
Pm: 0.3680 0.0000 0.7734
Pm: 0.6320 0.0000 0.2266
Pm: 0.3680 0.3680 0.2266
Pm: 0.6320 0.6320 0.7734

Pu4URu3: optimized geometry, PBE.

Results
DFT formation energy ... -0.024 eV/atom
Crystal system ... monoclinic
D(E_F) ... 22.94 states/eV/cell
Mass density ... 16.0 g/cm³
Calculated volume ... 157.7 Å³/cell

Unit cell a=4.8063 b=4.8064 c=8.2222 alpha=113.86 beta=113.85 gamma=86.34
Last column: magnetic moment on the atom in μB.
Fractional coordinates of all 8 atoms:
Ru: 0.0000 0.5000 0.0000  -0.52
Ru: 0.7152 0.2152 0.4834  -0.57
Ru: 0.2848 0.7848 0.5166  -0.57
U: 0.5000 0.0000 0.0000  1.13
Pu: 0.3688 0.3948 0.7402  4.78
Pu: 0.6312 0.6052 0.2598  4.78
Pu: 0.1052 0.1312 0.2598  4.78
Pu: 0.8948 0.8688 0.7402  4.78

Ga5Cl: optimized geometry, PBE.

Results
Crystal system ... orthorhombic
D(E_F) ... 2.82 states/eV/cell
Mass density ... 4.9 g/cm³
ΔE_f (raw) ... -0.062 eV per atom
Calculated volume ... 129.8 Å³/cell

Unit cell a=4.1918 b=3.7071 c=8.5561 alpha=102.51 beta=90.00 gamma=90.00
Fractional coordinates of all 6 atoms:
Ga: 0.5000 0.8278 0.6557
Ga: 0.0000 0.6834 0.3669
Ga: 0.5000 0.5000 0.0000
Ga: 0.0000 0.3166 0.6331
Ga: 0.5000 0.1722 0.3443
Cl: 0.0000 0.0000 0.0000